[1]
{"formula": "KTh4Tl5", "functional": "PBE-GGA", "state": "relaxed", "dft_energy_ev_per_atom": -4.3716, "space_group": "P4/mmm, No. 123", "crystal_system": "tetragonal", "e_form_ev_per_atom": -0.111, "magmom_total_mub_per_cell": 0.00, "cell": [[-0.6749, 3.2256, 1.3527], [1.1943, -1.0824, 3.1768], [22.1477, 7.1096, -5.9037]], "species": ["Th", "Th", "Th", "Th", "K", "Tl", "Tl", "Tl", "Tl", "Tl"], "fractional_positions": [[0.0000, 0.0000, 0.7887], [0.0000, 0.0000, 0.2113], [0.0000, 0.0000, 0.5960], [0.0000, 0.0000, 0.4040], [0.0000, 0.0000, 0.0000], [0.5000, 0.5000, 0.8862], [0.5000, 0.5000, 0.6922], [0.5000, 0.5000, 0.1138], [0.5000, 0.5000, 0.5000], [0.5000, 0.5000, 0.3078]]}

[2]
{"formula": "K4Ti", "functional": "PBE-GGA", "state": "relaxed", "dft_energy_ev_per_atom": -1.6880, "space_group": "Pm-3m, No. 221", "crystal_system": "cubic", "e_form_ev_per_atom": 0.769, "magmom_total_mub_per_cell": 3.95, "cell": [[6.9499, 0.0000, 0.0000], [0.0000, 6.9499, 0.0000], [0.0000, 0.0000, 6.9499]], "species": ["K", "K", "K", "K", "Ti"], "fractional_positions": [[0.0000, 0.0000, 0.0000], [0.5000, 0.0000, 0.5000], [0.0000, 0.5000, 0.5000], [0.5000, 0.5000, 0.0000], [0.5000, 0.5000, 0.5000]]}

[3]
{"formula": "K3Ti", "functional": "PBE-GGA", "state": "relaxed", "dft_energy_ev_per_atom": -1.9429, "space_group": "I4/mmm, No. 139", "crystal_system": "tetragonal", "e_form_ev_per_atom": 0.854, "magmom_total_mub_per_cell": 3.21, "cell": [[-1.5905, -3.0600, 6.2787], [5.8159, 0.5004, 4.1521], [-3.4858, 5.0159, -3.7424]], "species": ["K", "K", "K", "Ti"], "fractional_positions": [[0.2500, 0.7500, 0.5000], [0.5000, 0.5000, 0.0000], [0.7500, 0.2500, 0.5000], [0.0000, 0.0000, 0.0000]]}

[4]
{"formula": "K3Ti", "functional": "PBE-GGA", "state": "relaxed", "dft_energy_ev_per_atom": -1.9389, "space_group": "P6_3/mmc, No. 194", "crystal_system": "hexagonal", "e_form_ev_per_atom": 0.858, "magmom_total_mub_per_cell": 7.12, "cell": [[-4.6655, 6.5097, -2.3820], [3.5686, -0.0403, 7.5551], [5.4691, 2.9802, -2.5674]], "species": ["K", "K", "K", "K", "K", "K", "Ti", "Ti"], "fractional_positions": [[0.8242, 0.6484, 0.7500], [0.1758, 0.3516, 0.2500], [0.8242, 0.1758, 0.7500], [0.3516, 0.1758, 0.7500], [0.1758, 0.8242, 0.2500], [0.6484, 0.8242, 0.2500], [0.6667, 0.3333, 0.2500], [0.3333, 0.6667, 0.7500]]}

[5]
{"formula": "KTiTl", "functional": "PBE-GGA", "state": "relaxed", "dft_energy_ev_per_atom": -3.1666, "space_group": "P6_3/mmc, No. 194", "crystal_system": "hexagonal", "e_form_ev_per_atom": 0.620, "magmom_total_mub_per_cell": 0.00, "cell": [[4.6958, -2.7111, 0.0000], [0.0000, 5.4223, 0.0000], [0.0000, 0.0000, 6.1145]], "species": ["Tl", "Tl", "K", "K", "Ti", "Ti"], "fractional_positions": [[0.3333, 0.6667, 0.7500], [0.6667, 0.3333, 0.2500], [0.0000, 0.0000, 0.0000], [0.0000, 0.0000, 0.5000], [0.6667, 0.3333, 0.7500], [0.3333, 0.6667, 0.2500]]}

[6]
{"formula": "KTiTl", "functional": "PBE-GGA", "state": "relaxed", "dft_energy_ev_per_atom": -3.0837, "space_group": "P-6m2, No. 187", "crystal_system": "hexagonal", "e_form_ev_per_atom": 0.703, "magmom_total_mub_per_cell": 0.00, "cell": [[4.6078, -2.6603, 0.0000], [0.0000, 5.3207, 0.0000], [0.0000, 0.0000, 3.3883]], "species": ["Tl", "Ti", "K"], "fractional_positions": [[0.3333, 0.6667, 0.0000], [0.6667, 0.3333, 0.0000], [0.0000, 0.0000, 0.5000]]}